# 1
Entry from Alexandria: a relaxed structure of Zr2ZnNi (PBEsol).

Cell lengths 3.244, 3.244, 6.403 Å; angles 90.00, 90.00, 90.00 degrees
Space group P4/mmm (No. 123)
Asymmetric unit:
1 Zr 0.000 0.000 0.239
2 Zn 0.500 0.500 0.500
3 Ni 0.500 0.500 0.000

Summary:
Total magnetic moment = 0.00 μB per atom
VASP energy = -6.78 eV per atom

***

# 2
Entry from Alexandria: a relaxed structure of ZrZnNi2 (PBEsol).

Cell lengths 3.074, 3.074, 5.824 Å; angles 90.00, 90.00, 90.00 degrees
Space group P4/mmm (No. 123)
Asymmetric unit:
1 Zr 0.000 0.000 0.000
2 Zn 0.000 0.000 0.500
3 Ni 0.500 0.500 0.278

Summary:
Total magnetic moment = 0.00 μB per atom
VASP energy = -6.06 eV per atom

***

# 3
Entry from Alexandria: a relaxed structure of Zr2ZnNi (PBEsol).

Cell lengths 6.432, 6.432, 6.432 Å; angles 90.00, 90.00, 90.00 degrees
Space group F-43m (No. 216)
Asymmetric unit:
1 Zr 0.000 0.000 0.000
2 Zr 0.250 0.250 0.250
3 Zn 0.000 0.000 0.500
4 Ni 0.250 0.250 0.750

Summary:
Total magnetic moment = 0.49 μB per atom
VASP energy = -6.40 eV per atom

***

no.,DOS at the Fermi energy (states/eV/atom)
1,1.003
2,0.750
3,0.825